# PBE Sr2LiTeO6, optimized geometry
# Crystal system ... monoclinic
# Final energy ... -5.797 eV/atom
# Formation energy without anion corrections ... -1980 meV/atom
data_Sr2LiTeO6
_chemical_formula_sum 'Sr4 Li2 Te2 O12'
_symmetry_space_group_name_H-M 'P 1 21/c 1'
_symmetry_Int_Tables_number 14
_cell_length_a 5.7292
_cell_length_b 5.6882
_cell_length_c 9.8888
_cell_angle_alpha 90.00
_cell_angle_beta 125.40
_cell_angle_gamma 90.00
loop_
_symmetry_equiv_pos_as_xyz
'x,y,z'
'-x,-y,-z'
'-x,y+1/2,-z+1/2'
'x,-y+1/2,z+1/2'
loop_
_atom_site_label
_atom_site_type_symbol
_atom_site_fract_x
_atom_site_fract_y
_atom_site_fract_z
Sr1 Sr 0.2475 0.0113 0.2495
Li1 Li 0.0000 0.0000 0.5000
Te1 Te 0.5000 0.0000 0.0000
O1 O 0.2235 0.2239 0.9768
O2 O 0.2545 0.7448 0.9764
O3 O 0.3072 0.0040 0.7617

# PBE SrLi2TeO4, optimized geometry
# Crystal system ... monoclinic
# Final energy ... -5.398 eV/atom
# Formation energy without anion corrections ... -1838 meV/atom
data_SrLi2TeO4
_chemical_formula_sum 'Sr4 Li8 Te4 O16'
_symmetry_space_group_name_H-M 'C 1 2 1'
_symmetry_Int_Tables_number 5
_cell_length_a 8.6157
_cell_length_b 10.0940
_cell_length_c 6.6424
_cell_angle_alpha 90.00
_cell_angle_beta 123.16
_cell_angle_gamma 90.00
loop_
_symmetry_equiv_pos_as_xyz
'x,y,z'
'-x,y,-z'
'x+1/2,y+1/2,z'
'-x+1/2,y+1/2,-z'
loop_
_atom_site_label
_atom_site_type_symbol
_atom_site_fract_x
_atom_site_fract_y
_atom_site_fract_z
Sr1 Sr 0.2481 0.0000 0.3134
Li1 Li 0.0263 0.3146 0.8326
Li2 Li 0.1741 0.5394 0.1256
Te1 Te 0.0834 0.7706 0.8022
O1 O 0.0032 0.5076 0.2450
O2 O 0.0896 0.9610 0.8253
O3 O 0.1968 0.2431 0.1999
O4 O 0.2167 0.7477 0.1446

# PBE Sr3LiTe2O9, optimized geometry
# Crystal system ... trigonal
# Final energy ... -5.839 eV/atom
# Formation energy without anion corrections ... -1981 meV/atom
data_Sr3LiTe2O9
_chemical_formula_sum 'Sr3 Li1 Te2 O9'
_symmetry_space_group_name_H-M 'P -3 m 1'
_symmetry_Int_Tables_number 164
_symmetry_space_group_name_Hall '-P 3 2"'
_cell_length_a 5.7524
_cell_length_b 5.7524
_cell_length_c 7.0892
_cell_angle_alpha 90.00
_cell_angle_beta 90.00
_cell_angle_gamma 120.00
loop_
_atom_site_label
_atom_site_type_symbol
_atom_site_fract_x
_atom_site_fract_y
_atom_site_fract_z
Sr1 Sr 0.0000 0.0000 0.0000
Sr2 Sr 0.3333 0.6667 0.6517
Li1 Li 0.0000 0.0000 0.5000
Te1 Te 0.3333 0.6667 0.1788
O1 O 0.0000 0.5000 0.0000
O2 O 0.1717 0.3435 0.3247

# PBE Sr2LiTeO6, optimized geometry
# Crystal system ... monoclinic
# Final energy ... -5.797 eV/atom
# Formation energy without anion corrections ... -1980 meV/atom
data_Sr2LiTeO6
_chemical_formula_sum 'Sr4 Li2 Te2 O12'
_symmetry_space_group_name_H-M 'P 1 21/c 1'
_symmetry_Int_Tables_number 14
_cell_length_a 5.7285
_cell_length_b 5.6757
_cell_length_c 9.8860
_cell_angle_alpha 90.00
_cell_angle_beta 125.38
_cell_angle_gamma 90.00
loop_
_symmetry_equiv_pos_as_xyz
'x,y,z'
'-x,-y,-z'
'-x,y+1/2,-z+1/2'
'x,-y+1/2,z+1/2'
loop_
_atom_site_label
_atom_site_type_symbol
_atom_site_fract_x
_atom_site_fract_y
_atom_site_fract_z
Sr1 Sr 0.2486 0.0008 0.2504
Li1 Li 0.5000 0.0000 0.0000
Te1 Te 0.0000 0.0000 0.5000
O1 O 0.2133 0.2417 0.4765
O2 O 0.2159 0.7390 0.9765
O3 O 0.2837 0.0002 0.7382

# PBE SrLi2TiO4, optimized geometry
# Crystal system ... tetragonal
# Final energy ... -6.849 eV/atom
# Formation energy without anion corrections ... -2694 meV/atom
data_SrLi2TiO4
_chemical_formula_sum 'Sr2 Li4 Ti2 O8'
_symmetry_space_group_name_H-M 'I -4 2 m'
_symmetry_Int_Tables_number 121
_symmetry_space_group_name_Hall 'I -4 2'
_cell_length_a 5.3651
_cell_length_b 5.3651
_cell_length_c 6.9251
_cell_angle_alpha 90.00
_cell_angle_beta 90.00
_cell_angle_gamma 90.00
loop_
_atom_site_label
_atom_site_type_symbol
_atom_site_fract_x
_atom_site_fract_y
_atom_site_fract_z
Sr1 Sr 0.0000 0.0000 0.0000
Li1 Li 0.0000 0.5000 0.2500
Ti1 Ti 0.0000 0.0000 0.5000
O1 O 0.1981 0.1981 0.6534

# PBE Sr2LiTiO5, optimized geometry
# Crystal system ... orthorhombic
# Final energy ... -6.771 eV/atom
# Formation energy without anion corrections ... -2552 meV/atom
data_Sr2LiTiO5
_chemical_formula_sum 'Sr8 Li4 Ti4 O20'
_symmetry_space_group_name_H-M 'C m c 21'
_symmetry_Int_Tables_number 36
_cell_length_a 3.7244
_cell_length_b 12.6493
_cell_length_c 9.7582
_cell_angle_alpha 90.00
_cell_angle_beta 90.00
_cell_angle_gamma 90.00
loop_
_symmetry_equiv_pos_as_xyz
'x,y,z'
'-x,-y,z+1/2'
'-x,y,z'
'x,-y,z+1/2'
'x+1/2,y+1/2,z'
'-x+1/2,-y+1/2,z+1/2'
'-x+1/2,y+1/2,z'
'x+1/2,-y+1/2,z+1/2'
loop_
_atom_site_label
_atom_site_type_symbol
_atom_site_fract_x
_atom_site_fract_y
_atom_site_fract_z
Sr1 Sr 0.0000 0.1222 0.0000
Sr2 Sr 0.0000 0.1316 0.3732
Li1 Li 0.0000 0.2206 0.7005
Ti1 Ti 0.0000 0.4451 0.1871
O1 O 0.0000 0.0434 0.7294
O2 O 0.0000 0.3157 0.0700
O3 O 0.0000 0.3231 0.3272
O4 O 0.0000 0.3848 0.6964
O5 O 0.0000 0.4788 0.9915

# PBE Sr2LiTlO4, optimized geometry
# Crystal system ... monoclinic
# Final energy ... -5.313 eV/atom
# Formation energy without anion corrections ... -1878 meV/atom
data_Sr2LiTlO4
_chemical_formula_sum 'Sr2 Li1 Tl1 O4'
_symmetry_space_group_name_H-M 'P 1 2/m 1'
_symmetry_Int_Tables_number 10
_cell_length_a 5.7712
_cell_length_b 3.6924
_cell_length_c 5.9463
_cell_angle_alpha 90.00
_cell_angle_beta 105.44
_cell_angle_gamma 90.00
loop_
_symmetry_equiv_pos_as_xyz
'x,y,z'
'-x,-y,-z'
'-x,y,-z'
'x,-y,z'
loop_
_atom_site_label
_atom_site_type_symbol
_atom_site_fract_x
_atom_site_fract_y
_atom_site_fract_z
Sr1 Sr 0.0000 0.0000 0.0000
Sr2 Sr 0.0000 0.5000 0.5000
Li1 Li 0.5000 0.0000 0.5000
Tl1 Tl 0.5000 0.5000 0.0000
O1 O 0.2572 0.5000 0.2253
O2 O 0.2670 0.0000 0.7327

# PBE SrLiTlO3, optimized geometry
# Crystal system ... monoclinic
# Final energy ... -5.142 eV/atom
# Formation energy without anion corrections ... -1670 meV/atom
data_SrLiTlO3
_chemical_formula_sum 'Sr2 Li2 Tl2 O6'
_symmetry_space_group_name_H-M 'P 1 21/m 1'
_symmetry_Int_Tables_number 11
_cell_length_a 7.1443
_cell_length_b 3.4723
_cell_length_c 7.1962
_cell_angle_alpha 90.00
_cell_angle_beta 103.87
_cell_angle_gamma 90.00
loop_
_symmetry_equiv_pos_as_xyz
'x,y,z'
'-x,-y,-z'
'-x,y+1/2,-z'
'x,-y+1/2,z'
loop_
_atom_site_label
_atom_site_type_symbol
_atom_site_fract_x
_atom_site_fract_y
_atom_site_fract_z
Sr1 Sr 0.1857 0.2500 0.2253
Li1 Li 0.0892 0.2500 0.5918
Tl1 Tl 0.3324 0.7500 0.8271
O1 O 0.1076 0.2500 0.8608
O2 O 0.1853 0.7500 0.5154
O3 O 0.4330 0.7500 0.1549

# PBE Sr2Li2TlO4, optimized geometry
# Crystal system ... monoclinic
# Final energy ... -5.055 eV/atom
# Formation energy without anion corrections ... -1789 meV/atom
data_Sr2Li2TlO4
_chemical_formula_sum 'Sr4 Li4 Tl2 O8'
_symmetry_space_group_name_H-M 'C 1 2/m 1'
_symmetry_Int_Tables_number 12
_cell_length_a 13.0185
_cell_length_b 3.4150
_cell_length_c 6.0935
_cell_angle_alpha 90.00
_cell_angle_beta 108.51
_cell_angle_gamma 90.00
loop_
_symmetry_equiv_pos_as_xyz
'x,y,z'
'-x,-y,-z'
'-x,y,-z'
'x,-y,z'
'x+1/2,y+1/2,z'
'-x+1/2,-y+1/2,-z'
'-x+1/2,y+1/2,-z'
'x+1/2,-y+1/2,z'
loop_
_atom_site_label
_atom_site_type_symbol
_atom_site_fract_x
_atom_site_fract_y
_atom_site_fract_z
Sr1 Sr 0.1347 0.0000 0.0541
Li1 Li 0.1795 0.5000 0.5101
Tl1 Tl 0.0000 0.0000 0.5000
O1 O 0.0323 0.5000 0.2396
O2 O 0.2249 0.0000 0.7164

# PBE Sr3Li2UO6, optimized geometry
# Crystal system ... trigonal
# Final energy ... -6.703 eV/atom
# Formation energy without anion corrections ... -2544 meV/atom
data_Sr3Li2UO6
_chemical_formula_sum 'Sr3 Li2 U1 O6'
_symmetry_space_group_name_H-M 'P -3 m 1'
_symmetry_Int_Tables_number 164
_symmetry_space_group_name_Hall '-P 3 2"'
_cell_length_a 5.9567
_cell_length_b 5.9567
_cell_length_c 6.7275
_cell_angle_alpha 90.00
_cell_angle_beta 90.00
_cell_angle_gamma 120.00
loop_
_atom_site_label
_atom_site_type_symbol
_atom_site_fract_x
_atom_site_fract_y
_atom_site_fract_z
Sr1 Sr 0.0000 0.0000 0.0000
Sr2 Sr 0.3333 0.6667 0.6206
Li1 Li 0.3333 0.6667 0.1927
U1 U 0.0000 0.0000 0.5000
O1 O 0.1665 0.3331 0.3109

# PBE Sr2LiUO6, optimized geometry
# Crystal system ... monoclinic
# Final energy ... -7.367 eV/atom
# Formation energy without anion corrections ... -2735 meV/atom
data_Sr2LiUO6
_chemical_formula_sum 'Sr4 Li2 U2 O12'
_symmetry_space_group_name_H-M 'P 1 21/c 1'
_symmetry_Int_Tables_number 14
_cell_length_a 5.8980
_cell_length_b 5.8809
_cell_length_c 10.0817
_cell_angle_alpha 90.00
_cell_angle_beta 124.76
_cell_angle_gamma 90.00
loop_
_symmetry_equiv_pos_as_xyz
'x,y,z'
'-x,-y,-z'
'-x,y+1/2,-z+1/2'
'x,-y+1/2,z+1/2'
loop_
_atom_site_label
_atom_site_type_symbol
_atom_site_fract_x
_atom_site_fract_y
_atom_site_fract_z
Sr1 Sr 0.2318 0.0402 0.2441
Li1 Li 0.0000 0.0000 0.5000
U1 U 0.5000 0.0000 0.0000
O1 O 0.1810 0.2044 0.9588
O2 O 0.2445 0.7261 0.9479
O3 O 0.3462 0.0262 0.7593

# PBE Sr2Li2UO6, optimized geometry
# Crystal system ... trigonal
# Final energy ... -7.080 eV/atom
# Formation energy without anion corrections ... -2696 meV/atom
data_Sr2Li2UO6
_chemical_formula_sum 'Sr6 Li6 U3 O18'
_symmetry_space_group_name_H-M 'R -3 m'
_symmetry_Int_Tables_number 166
_symmetry_space_group_name_Hall '-R 3 2"'
_cell_length_a 5.8977
_cell_length_b 5.8977
_cell_length_c 16.0545
_cell_angle_alpha 90.00
_cell_angle_beta 90.00
_cell_angle_gamma 120.00
loop_
_atom_site_label
_atom_site_type_symbol
_atom_site_fract_x
_atom_site_fract_y
_atom_site_fract_z
Sr1 Sr 0.0000 0.0000 0.2133
Li1 Li 0.0000 0.0000 0.4242
U1 U 0.0000 0.0000 0.0000
O1 O 0.0215 0.5107 0.7508

# PBE Sr2LiYbUO6, optimized geometry
# Crystal system ... orthorhombic
# Final energy ... -7.055 eV/atom
# Formation energy without anion corrections ... -2706 meV/atom
data_Sr2LiYbUO6
_chemical_formula_sum 'Sr4 Li2 Yb2 U2 O12'
_symmetry_space_group_name_H-M 'I m m m'
_symmetry_Int_Tables_number 71
_symmetry_space_group_name_Hall '-I 2 2'
_cell_length_a 6.1352
_cell_length_b 6.1744
_cell_length_c 9.2591
_cell_angle_alpha 90.00
_cell_angle_beta 90.00
_cell_angle_gamma 90.00
loop_
_atom_site_label
_atom_site_type_symbol
_atom_site_fract_x
_atom_site_fract_y
_atom_site_fract_z
Sr1 Sr 0.0000 0.0000 0.1876
Li1 Li 0.0000 0.0000 0.5000
Yb1 Yb 0.0000 0.5000 0.5000
U1 U 0.0000 0.5000 0.0000
O1 O 0.0000 0.5000 0.2370
O2 O 0.2417 0.2513 0.0000

# PBE Sr2LiYbUO6, optimized geometry
# Crystal system ... trigonal
# Final energy ... -7.064 eV/atom
# Formation energy without anion corrections ... -2715 meV/atom
data_Sr2LiYbUO6
_chemical_formula_sum 'Sr6 Li3 Yb3 U3 O18'
_symmetry_space_group_name_H-M 'R 3 m'
_symmetry_Int_Tables_number 160
_symmetry_space_group_name_Hall 'R 3 -2"'
_cell_length_a 6.0925
_cell_length_b 6.0925
_cell_length_c 16.9518
_cell_angle_alpha 90.00
_cell_angle_beta 90.00
_cell_angle_gamma 120.00
loop_
_atom_site_label
_atom_site_type_symbol
_atom_site_fract_x
_atom_site_fract_y
_atom_site_fract_z
Sr1 Sr 0.0000 0.0000 0.0000
Sr2 Sr 0.0000 0.0000 0.4747
Li1 Li 0.0000 0.0000 0.8242
Yb1 Yb 0.0000 0.0000 0.1940
U1 U 0.0000 0.0000 0.6752
O1 O 0.0120 0.5060 0.4284
O2 O 0.1795 0.3591 0.2621